Entry 1:
Material: Pm2TiGa
Method: DFT, GGA-PBE
State: optimized geometry

Lattice parameters (Å, degrees): 4.459 4.644 4.644 90.00 90.00 90.00
Element x y z (fractional)
Ti1 0.500 0.500 0.500
Ga1 0.500 0.000 0.000
Pm1 0.000 0.000 0.500
Pm2 0.000 0.500 0.000

Properties
The calculation puts the formation energy at -0.09 eV per atom. The total moment comes out at 0.0 Bohr magnetons per cell.

=====

Entry 2:
Material: Pm5Ho2Tm12
Method: DFT, GGA-PBE
State: optimized geometry

Lattice parameters (Å, degrees): 7.898 8.643 12.730 132.71 72.00 111.31
Element x y z (fractional)
Pm1 0.262 0.473 0.552
Pm2 0.159 0.684 0.132
Pm3 0.000 0.000 0.500
Pm4 0.841 0.316 0.868
Pm5 0.738 0.527 0.448
Ho1 0.579 0.844 0.817
Ho2 0.421 0.156 0.183
Tm1 0.946 0.103 0.287
Tm2 0.105 0.791 0.921
Tm3 0.633 0.738 0.027
Tm4 0.213 0.578 0.341
Tm5 0.681 0.629 0.236
Tm6 0.524 0.948 0.606
Tm7 0.476 0.052 0.394
Tm8 0.787 0.422 0.659
Tm9 0.319 0.371 0.764
Tm10 0.895 0.209 0.079
Tm11 0.367 0.262 0.973
Tm12 0.054 0.897 0.713

Properties
The calculation puts the formation energy at 0.02 eV per atom. For the energy above the most stable polymorph in this dataset, the calculation gives 0.0 meV/atom. The total moment comes out at 0.0 Bohr magnetons per cell.

=====

Entry 3:
Material: La2BeGe
Method: DFT, GGA-PBE
State: optimized geometry

Lattice parameters (Å, degrees): 6.814 6.814 6.814 55.84 152.25 132.57
Element x y z (fractional)
La1 0.000 0.243 0.243
La2 0.000 0.757 0.757
Be1 0.000 0.000 0.000
Ge1 0.000 0.500 0.500

Properties
The calculation puts the formation energy at 0.80 eV per atom. The total moment comes out at 0.0 Bohr magnetons per cell.